## In3Co (PBE)

Data for crystalline In3Co at its relaxed geometry.

Geometry as CIF:
```
data_In3Co
_chemical_formula_sum 'In12 Co4'
_cell_length_a 6.8778
_cell_length_b 6.8778
_cell_length_c 7.1225
_cell_angle_alpha 90.00
_cell_angle_beta 90.00
_cell_angle_gamma 90.00
_space_group_name_H-M_alt 'P 42/m n m'
_space_group_IT_number 136
_space_group_name_Hall '-P 4n 2n'
loop_
_atom_site_label
_atom_site_type_symbol
_atom_site_fract_x
_atom_site_fract_y
_atom_site_fract_z
In1 In 0.0000 0.5000 0.0000
In2 In 0.1540 0.1540 0.2438
Co1 Co 0.1514 0.8486 0.0000
```

Summary:
DOS at the Fermi energy: 6.86 states/eV per cell
total DFT energy (no corrections): -3.851 eV per atom
ΔE_f: -0.08 eV per formula unit